Model i:
DFT (GGA-PBE) results for crystalline Sc2SbH at its relaxed geometry.

Values from the calculation:
**SG**: Cmmm, No. 65

abc: 6.329 6.329 4.029
angles: 90.00 90.00 102.65
Fractional coordinates of all 8 atoms:
Sc 0.000 0.000 0.000
Sc 0.000 0.500 0.000
Sc 0.500 0.000 0.000
Sc 0.500 0.500 0.500
Sb 0.211 0.789 0.500
Sb 0.789 0.211 0.500
H 0.299 0.299 0.000
H 0.701 0.701 0.000

***

Model ii:
DFT (GGA-PBE) results for crystalline Sc2SbH at its relaxed geometry.

Values from the calculation:
**SG**: P2_1/c, No. 14

abc: 7.064 5.918 7.068
angles: 90.00 98.97 90.00
Fractional coordinates of all 16 atoms:
Sc 0.041 0.125 0.318
Sc 0.041 0.375 0.818
Sc 0.320 0.654 0.516
Sc 0.320 0.846 0.016
Sc 0.680 0.154 0.984
Sc 0.680 0.346 0.484
Sc 0.959 0.625 0.182
Sc 0.959 0.875 0.682
Sb 0.336 0.130 0.664
Sb 0.336 0.370 0.164
Sb 0.664 0.630 0.836
Sb 0.664 0.870 0.336
H 0.185 0.665 0.764
H 0.185 0.835 0.264
H 0.815 0.165 0.736
H 0.815 0.335 0.236

***

Energies in meV per atom, measured from the most stable structure: model i 190; model ii 0.

***

Model i:
DFT (GGA-PBE) results for crystalline Sc2SbH at its relaxed geometry.

Values from the calculation:
**SG**: R-3m, No. 166

abc: 6.196 6.196 6.196
angles: 36.71 36.71 36.71
Fractional coordinates of all 4 atoms:
Sc 0.233 0.233 0.233
Sc 0.767 0.767 0.767
Sb 0.000 0.000 0.000
H 0.500 0.500 0.500

***

Model ii:
DFT (GGA-PBE) results for crystalline Sc2SbH at its relaxed geometry.

Values from the calculation:
**SG**: I-42d, No. 122

abc: 5.729 5.729 5.729
angles: 109.14 109.14 110.14
Fractional coordinates of all 8 atoms:
Sc 0.030 0.125 0.405
Sc 0.375 0.970 0.095
Sc 0.720 0.625 0.595
Sc 0.875 0.280 0.905
Sb 0.250 0.750 0.500
Sb 0.500 0.500 0.000
H 0.000 0.000 0.000
H 0.750 0.250 0.500

***

Model iii:
DFT (GGA-PBE) results for crystalline Sc2SbH at its relaxed geometry.

Values from the calculation:
**SG**: Fm-3m, No. 225

abc: 4.789 4.789 4.789
angles: 60.00 60.00 60.00
Fractional coordinates of all 4 atoms:
Sc 0.250 0.250 0.250
Sc 0.750 0.750 0.750
Sb 0.000 0.000 0.000
H 0.500 0.500 0.500

***

Energies in meV per atom, measured from the most stable structure: model i 207; model ii 0; model iii 371.

***

Model i:
DFT (GGA-PBE) results for crystalline ScSbH at its relaxed geometry.

Values from the calculation:
**SG**: P4/nmm, No. 129

abc: 3.390 3.390 9.230
angles: 90.00 90.00 90.00
Fractional coordinates of all 6 atoms:
Sc 0.250 0.250 0.129
Sc 0.750 0.750 0.871
Sb 0.250 0.250 0.664
Sb 0.750 0.750 0.336
H 0.250 0.750 0.000
H 0.750 0.250 0.000

***

Model ii:
DFT (GGA-PBE) results for crystalline ScSbH at its relaxed geometry.

Values from the calculation:
**SG**: C2/m, No. 12

abc: 3.438 3.438 9.669
angles: 91.42 91.42 75.18
Fractional coordinates of all 6 atoms:
Sc 0.242 0.242 0.372
Sc 0.758 0.758 0.628
Sb 0.269 0.269 0.845
Sb 0.731 0.731 0.155
H 0.231 0.231 0.171
H 0.769 0.769 0.829

***

Energies in meV per atom, measured from the most stable structure: model i 0; model ii 598.

***

Model i:
DFT (GGA-PBE) results for crystalline ScSbTe2H at its relaxed geometry.

Values from the calculation:
**SG**: P4/mmm, No. 123

abc: 5.550 5.550 5.540
angles: 90.00 90.00 90.00
Fractional coordinates of all 5 atoms:
Sc 0.000 0.000 0.000
Sb 0.000 0.000 0.500
Te 0.000 0.500 0.000
Te 0.500 0.000 0.000
H 0.500 0.500 0.500

***

Model ii:
DFT (GGA-PBE) results for crystalline ScSbTe2H at its relaxed geometry.

Values from the calculation:
**SG**: P4/mmm, No. 123

abc: 5.387 5.387 3.840
angles: 90.00 90.00 90.00
Fractional coordinates of all 5 atoms:
Sc 0.000 0.000 0.000
Sb 0.500 0.500 0.000
Te 0.000 0.500 0.500
Te 0.500 0.000 0.500
H 0.500 0.500 0.500

***

Energies in meV per atom, measured from the most stable structure: model i 384; model ii 0.

***

Model i:
DFT (GGA-PBE) results for crystalline ScSb2TeH at its relaxed geometry.

Values from the calculation:
**SG**: P4/mmm, No. 123

abc: 4.357 4.357 5.831
angles: 90.00 90.00 90.00
Fractional coordinates of all 5 atoms:
Sc 0.000 0.000 0.000
Sb 0.000 0.500 0.500
Sb 0.500 0.000 0.500
Te 0.500 0.500 0.000
H 0.500 0.500 0.500

***

Model ii:
DFT (GGA-PBE) results for crystalline ScSb2TeH at its relaxed geometry.

Values from the calculation:
**SG**: P4/mmm, No. 123

abc: 5.515 5.515 5.509
angles: 90.00 90.00 90.00
Fractional coordinates of all 5 atoms:
Sc 0.000 0.000 0.000
Sb 0.000 0.500 0.000
Sb 0.500 0.000 0.000
Te 0.000 0.000 0.500
H 0.500 0.500 0.500

***

Energies in meV per atom, measured from the most stable structure: model i 0; model ii 487.

***

Model i:
DFT (GGA-PBE) results for crystalline SbH3Se at its relaxed geometry.

Values from the calculation:
**SG**: Pm-3m, No. 221

abc: 3.960 3.960 3.960
angles: 90.00 90.00 90.00
Fractional coordinates of all 5 atoms:
Sb 0.000 0.000 0.000
H 0.000 0.000 0.500
H 0.000 0.500 0.000
H 0.500 0.000 0.000
Se 0.500 0.500 0.500

***

Model ii:
DFT (GGA-PBE) results for crystalline SbH3Se at its relaxed geometry.

Values from the calculation:
**SG**: Pm-3m, No. 221

abc: 3.879 3.879 3.879
angles: 90.00 90.00 90.00
Fractional coordinates of all 5 atoms:
Sb 0.000 0.000 0.000
H 0.000 0.500 0.500
H 0.500 0.000 0.500
H 0.500 0.500 0.000
Se 0.500 0.500 0.500

***

Energies in meV per atom, measured from the most stable structure: model i 0; model ii 153.

***

Model i:
DFT (GGA-PBE) results for crystalline Sb2H2Se at its relaxed geometry.

Values from the calculation:
**SG**: I4/mmm, No. 139

abc: 6.451 6.451 6.451
angles: 146.08 146.08 48.73
Fractional coordinates of all 5 atoms:
Sb 0.138 0.138 0.000
Sb 0.862 0.862 0.000
H 0.250 0.750 0.500
H 0.750 0.250 0.500
Se 0.500 0.500 0.000

***

Model ii:
DFT (GGA-PBE) results for crystalline Sb2H2Se at its relaxed geometry.

Values from the calculation:
**SG**: P4/mbm, No. 127

abc: 7.528 7.528 3.191
angles: 90.00 90.00 90.00
Fractional coordinates of all 10 atoms:
Sb 0.134 0.366 0.000
Sb 0.366 0.866 0.000
Sb 0.634 0.134 0.000
Sb 0.866 0.634 0.000
H 0.103 0.603 0.500
H 0.397 0.103 0.500
H 0.603 0.897 0.500
H 0.897 0.397 0.500
Se 0.000 0.000 0.000
Se 0.500 0.500 0.000

***

Energies in meV per atom, measured from the most stable structure: model i 0; model ii 76.

***

Model i:
DFT (GGA-PBE) results for crystalline SbH2Se2 at its relaxed geometry.

Values from the calculation:
**SG**: C2/m, No. 12

abc: 3.876 3.876 9.275
angles: 92.49 92.49 59.98
Fractional coordinates of all 5 atoms:
Sb 0.000 0.000 0.000
H 0.023 0.023 0.538
H 0.977 0.977 0.462
Se 0.321 0.321 0.820
Se 0.679 0.679 0.180

***

Model ii:
DFT (GGA-PBE) results for crystalline SbH2Se2 at its relaxed geometry.

Values from the calculation:
**SG**: P4/mbm, No. 127

abc: 7.832 7.832 3.372
angles: 90.00 90.00 90.00
Fractional coordinates of all 10 atoms:
Sb 0.000 0.000 0.000
Sb 0.500 0.500 0.000
H 0.134 0.366 0.500
H 0.366 0.866 0.500
H 0.634 0.134 0.500
H 0.866 0.634 0.500
Se 0.183 0.317 0.000
Se 0.317 0.817 0.000
Se 0.683 0.183 0.000
Se 0.817 0.683 0.000

***

Energies in meV per atom, measured from the most stable structure: model i 0; model ii 225.